# 1
Entry from the Alexandria database: an optimized crystal structure of La7Pm2Sm (PBE).

Properties
Offset from the most stable computed form: 0.000 eV/atom

Cell and atoms, written as POSCAR:
```
La7Pm2Sm
1.0
-3.153 -1.002 1.339
-1.660 -6.104 -8.476
4.955 -5.624 7.463
La Pm Sm
7 2 1
Cartesian
0.124 -3.435 2.478
0.071 -6.365 0.163
0.018 -9.294 -2.153
2.838 -5.777 2.361
0.457 -5.950 -3.375
-1.593 -3.560 -1.657
1.735 -9.169 1.982
2.268 -6.205 5.456
-2.126 -6.524 -5.131
0.000 0.000 0.000
```



# 2
Entry from the Alexandria database: an optimized crystal structure of ZnSe3I (PBE).

Properties
Offset from the most stable computed form: 0.000 eV/atom
Formation energy without anion corrections: 0.446 eV/atom

Cell and atoms, written as POSCAR:
```
ZnSe3I
1.0
4.996 0.000 0.000
0.000 4.996 0.000
0.000 0.000 4.996
Se Zn I
3 1 1
Cartesian
0.000 0.000 2.498
2.498 0.000 0.000
0.000 2.498 0.000
0.000 0.000 0.000
2.498 2.498 2.498
```



# 3
Entry from the Alexandria database: an optimized crystal structure of Ti2Ni2Se (PBE).

Properties
Offset from the most stable computed form: 0.000 eV/atom
Formation energy without anion corrections: -0.372 eV/atom

Cell and atoms, written as POSCAR:
```
Ti2Ni2Se
1.0
-5.104 -1.463 3.762
2.029 -6.173 0.353
1.833 0.761 2.783
Ni Se Ti
4 2 4
Cartesian
-3.172 -5.156 3.500
0.096 -2.480 0.615
-0.127 -5.922 1.704
-2.948 -1.714 2.411
-1.538 -3.818 2.057
0.000 0.000 0.000
1.425 -3.962 2.245
-0.462 -1.126 2.712
-2.668 -2.912 4.653
-0.780 -5.749 4.186
```



# 4
Entry from the Alexandria database: an optimized crystal structure of SrFeSi2 (PBE).

Properties
Formation energy without anion corrections: 0.443 eV/atom

Cell and atoms, written as POSCAR:
```
SrFeSi2
1.0
-3.472 -1.974 1.316
2.312 -2.297 2.654
-0.542 2.999 3.068
Si Fe Sr
2 1 1
Cartesian
-0.580 -2.135 1.985
0.000 0.000 0.000
0.885 0.351 2.861
-2.007 0.513 2.192
```



# 5
Entry from the Alexandria database: an optimized crystal structure of CdAs2Rh2 (PBE).

Properties
Offset from the most stable computed form: 0.090 eV/atom

Cell and atoms, written as POSCAR:
```
CdAs2Rh2
1.0
7.394 0.000 0.000
0.000 7.394 0.000
0.000 0.000 3.148
Rh As Cd
4 4 2
Cartesian
4.721 1.024 0.000
6.370 4.721 0.000
1.024 2.673 0.000
2.673 6.370 0.000
1.073 4.770 1.574
4.770 6.321 1.574
2.624 1.073 1.574
6.321 2.624 1.574
3.697 3.697 0.000
0.000 0.000 0.000
```



# 6
Entry from the Alexandria database: an optimized crystal structure of ErHf2Tc (PBE).

Properties
Offset from the most stable computed form: 0.339 eV/atom

Cell and atoms, written as POSCAR:
```
ErHf2Tc
1.0
-2.999 -1.145 -0.166
-0.810 -2.633 1.657
-3.942 4.585 8.477
Hf Tc Er
2 1 1
Cartesian
-4.631 -1.978 3.948
-3.119 2.786 6.020
-3.875 0.404 4.984
0.000 0.000 0.000
```



# 7
Entry from the Alexandria database: an optimized crystal structure of CaAcTlGe (PBE).

Properties
Calculated total energy: -3.710 eV/atom

Cell and atoms, written as POSCAR:
```
CaAcTlGe
1.0
-3.430 -1.858 3.927
-1.944 -5.177 -0.246
1.750 -3.789 3.637
Ac Ge Ca Tl
1 1 1 1
Cartesian
-2.718 -8.118 5.489
-1.812 -5.412 3.659
-0.906 -2.706 1.830
0.000 0.000 0.000
```



# 8
Entry from the Alexandria database: an optimized crystal structure of TcTePdI2 (PBE).

Properties
Offset from the most stable computed form: 0.000 eV/atom
Formation energy without anion corrections: 0.751 eV/atom

Cell and atoms, written as POSCAR:
```
TcTePdI2
1.0
5.584 0.000 0.000
0.000 5.584 0.000
0.000 0.000 5.036
I Tc Te Pd
2 1 1 1
Cartesian
0.000 2.792 0.000
2.792 0.000 0.000
0.000 0.000 0.000
0.000 0.000 2.518
2.792 2.792 2.518
```